Entry 1:
The following is a PBE-GGA calculation of a geometry-optimized LiSm4H4O8 structure, from the Alexandria database.

```
LiSm4H4O8
1.0
3.668 0.000 0.000
0.000 5.294 0.031
0.000 0.687 11.331
O H Li Sm
8 4 1 4
Cartesian
0.000 3.855 4.925 O
1.834 2.107 6.567 O
1.834 3.704 2.332 O
0.000 1.122 3.589 O
0.000 4.841 11.020 O
1.834 1.230 0.683 O
1.834 4.923 7.616 O
0.000 2.098 9.260 O
1.834 1.131 6.829 H
0.000 4.548 9.966 H
1.834 2.085 1.195 H
0.000 4.815 4.676 H
0.000 2.858 11.049 Li
0.000 3.568 7.424 Sm
1.834 2.370 4.203 Sm
0.000 4.935 1.894 Sm
1.834 0.757 9.554 Sm
```

As for the space group: Pm, No. 6.

Entry 2:
The following is a PBE-GGA calculation of a geometry-optimized LiSnHO2 structure, from the Alexandria database.

```
LiSnHO2
1.0
4.135 0.000 0.000
0.000 3.262 0.000
0.000 0.000 4.135
H O Li Sn
1 2 1 1
Cartesian
0.000 0.000 0.000 H
2.068 0.000 0.000 O
0.000 0.000 2.068 O
2.068 1.631 2.068 Li
0.000 1.631 0.000 Sn
```

As for the space group: P4/mmm, No. 123.

Entry 3:
The following is a PBE-GGA calculation of a geometry-optimized Sr2LiH8O6 structure, from the Alexandria database.

```
Sr2LiH8O6
1.0
3.604 0.000 0.000
0.000 6.351 0.119
0.000 1.941 9.039
O Li H Sr
6 1 8 2
Cartesian
0.000 3.147 0.399 O
1.802 1.842 4.955 O
0.000 3.884 3.799 O
0.000 7.743 7.035 O
0.000 0.750 2.412 O
1.802 5.473 1.454 O
1.802 3.858 4.968 Li
1.030 6.022 1.825 H
0.000 4.289 8.860 H
2.576 1.635 5.567 H
2.574 6.022 1.825 H
0.000 6.881 3.482 H
0.000 2.342 7.186 H
1.028 1.635 5.567 H
0.000 4.790 3.437 H
1.802 6.403 8.145 Sr
1.802 2.644 2.312 Sr
```

As for the space group: Pm, No. 6.

Entry 4:
The following is a PBE-GGA calculation of a geometry-optimized Sr2LiH8O6 structure, from the Alexandria database.

```
Sr2LiH8O6
1.0
3.520 0.019 0.007
-0.042 7.487 0.192
-0.015 -0.091 7.512
Sr O H Li
2 6 8 1
Cartesian
-0.028 2.931 5.792 Sr
3.493 4.109 2.094 Sr
1.743 1.141 5.634 O
1.729 4.040 4.148 O
1.741 3.314 0.259 O
3.508 1.358 2.202 O
-0.052 6.897 6.871 O
1.724 5.925 1.559 O
2.699 1.117 2.786 H
1.746 0.831 4.691 H
0.798 1.106 2.782 H
2.745 -0.047 6.285 H
1.724 5.008 4.316 H
1.727 5.799 0.588 H
0.751 -0.058 6.281 H
1.746 2.351 0.450 H
-0.042 7.067 1.324 Li
```

As for the space group: Pm, No. 6.

Entry 5:
The following is a PBE-GGA calculation of a geometry-optimized Sr2LiH8O6 structure, from the Alexandria database.

```
Sr2LiH8O6
1.0
-3.112 -0.750 -2.091
-3.731 -0.916 5.881
-2.552 7.367 1.156
Li O H Sr
1 6 8 2
Cartesian
-2.996 4.877 2.710 Li
-4.548 -0.238 3.358 O
-3.809 4.146 0.687 O
-3.954 6.124 3.688 O
-1.500 1.434 1.718 O
-5.427 4.713 6.386 O
-3.347 3.341 3.783 O
-3.637 2.682 4.450 H
-2.933 4.697 0.611 H
-0.952 1.429 0.905 H
-4.203 4.391 -0.242 H
-5.790 5.604 6.607 H
-4.257 0.073 4.280 H
-5.563 -0.242 3.402 H
-1.415 -0.302 2.213 H
-5.998 4.767 3.721 Sr
-3.869 1.723 1.644 Sr
```

As for the space group: Pm, No. 6.

Entry 6:
The following is a PBE-GGA calculation of a geometry-optimized Sr3Li2H4O2 structure, from the Alexandria database.

```
Sr3Li2H4O2
1.0
-0.378 3.380 -1.653
-0.794 -1.695 -3.286
-9.591 -0.790 4.901
Li Sr H O
2 3 4 2
Cartesian
-2.735 0.854 -1.956 Li
-8.028 0.041 1.918 Li
-3.832 0.020 0.916 Sr
0.000 0.000 0.000 Sr
-6.931 0.875 -0.953 Sr
-1.933 -0.840 -1.276 H
-8.830 1.735 1.238 H
-1.725 1.698 -0.459 H
-9.038 -0.803 0.422 H
-6.199 0.032 1.481 O
-4.564 0.863 -1.519 O
```

As for the space group: I4/mmm, No. 139.

Entry 7:
The following is a PBE-GGA calculation of a geometry-optimized SrLiHO2 structure, from the Alexandria database.

```
SrLiHO2
1.0
4.669 0.000 0.000
0.000 4.460 0.000
0.000 0.000 4.669
Li Sr O H
1 1 2 1
Cartesian
2.334 2.230 2.334 Li
0.000 0.000 0.000 Sr
2.334 0.000 0.000 O
0.000 0.000 2.334 O
0.000 2.230 0.000 H
```

As for the space group: P4/mmm, No. 123.

Entry 8:
The following is a PBE-GGA calculation of a geometry-optimized Sr2LiH8O6 structure, from the Alexandria database.

```
Sr2LiH8O6
1.0
-0.099 3.929 -0.478
-0.677 -0.720 -5.777
-9.000 -0.198 0.239
H O Li Sr
8 6 1 2
Cartesian
-1.198 1.656 -2.534 H
-3.534 3.020 -0.752 H
-5.917 1.357 -4.017 H
-1.913 1.873 -0.607 H
-7.430 0.043 -4.750 H
-7.489 2.379 -5.035 H
-5.325 1.848 -0.102 H
-3.474 0.645 -0.463 H
-3.946 -0.192 -0.761 O
-3.214 1.229 -5.622 O
-7.732 -0.694 -4.100 O
-6.303 1.822 -0.116 O
-1.706 1.542 -3.368 O
-5.436 1.471 -3.174 O
-3.609 1.456 -3.680 Li
-1.298 -0.581 -4.507 Sr
-6.306 -0.368 -1.719 Sr
```

As for the space group: Pm, No. 6.

Entry 9:
The following is a PBE-GGA calculation of a geometry-optimized LiTcH6O7 structure, from the Alexandria database.

```
LiTcH6O7
1.0
3.963 -6.865 0.000
3.963 6.865 0.000
0.000 0.000 5.749
H Tc O Li
12 2 14 2
Cartesian
3.184 4.613 1.978 H
4.743 -4.613 4.853 H
5.587 -0.451 4.853 H
6.366 1.801 1.978 H
6.366 -1.801 4.853 H
4.743 4.613 1.978 H
2.340 0.451 1.978 H
5.587 0.451 1.978 H
1.560 -1.801 4.853 H
3.184 -4.613 4.853 H
2.340 -0.451 4.853 H
1.560 1.801 1.978 H
3.963 2.288 5.273 Tc
3.963 -2.288 2.399 Tc
1.430 -0.826 4.865 O
6.497 -0.826 4.865 O
5.397 3.116 4.718 O
5.397 -3.116 1.843 O
3.963 0.633 4.718 O
2.530 3.116 4.718 O
3.963 -0.633 1.843 O
2.530 -3.116 1.843 O
1.430 0.826 1.990 O
3.963 -2.288 4.128 O
6.497 0.826 1.990 O
3.963 2.288 1.254 O
3.963 5.213 1.990 O
3.963 -5.213 4.865 O
0.000 0.000 3.434 Li
0.000 0.000 0.559 Li
```

As for the space group: P6_3mc, No. 186.

Entry 10:
The following is a PBE-GGA calculation of a geometry-optimized LiTeH5O6 structure, from the Alexandria database.

```
LiTeH5O6
1.0
-5.896 -2.563 -4.080
3.771 -6.615 -1.295
-3.107 -3.023 6.389
O Li H Te
24 4 20 4
Cartesian
-1.606 -5.184 2.205 O
0.795 -6.533 1.654 O
2.282 -5.428 -1.088 O
-0.862 -1.305 1.058 O
-3.023 -2.981 2.466 O
-2.347 -5.978 -3.289 O
-2.188 -9.206 -1.479 O
-5.591 -8.324 0.104 O
-3.908 -3.851 4.785 O
-3.642 -7.026 -1.253 O
-1.104 -5.320 -0.900 O
-2.873 -6.213 4.268 O
-1.350 -7.873 0.922 O
-5.596 -3.981 2.214 O
-7.461 -6.831 2.163 O
-1.264 -8.327 -3.781 O
-4.273 -10.831 -0.062 O
-4.068 -6.897 1.864 O
-2.672 -8.717 3.279 O
0.320 -3.871 0.799 O
-3.873 -4.276 0.130 O
-2.620 -3.462 -2.275 O
0.402 -8.245 -1.265 O
-6.058 -5.762 -0.637 O
-2.912 -1.422 -2.066 Li
1.797 -3.341 -0.548 Li
-2.529 -6.219 0.517 Li
-3.726 -10.705 -2.052 Li
-1.621 -8.790 -2.953 H
-3.683 -3.614 -3.472 H
-6.521 -4.070 1.779 H
-2.273 -8.401 2.408 H
-3.395 -3.925 -0.686 H
-5.221 -5.309 -0.321 H
-3.583 -3.410 3.930 H
-3.227 -6.546 -2.045 H
-1.980 -5.655 3.020 H
-0.513 -4.750 -0.285 H
1.617 -5.628 -1.812 H
-0.065 -7.005 1.349 H
-3.347 -5.355 4.529 H
-4.704 -7.413 1.284 H
-2.487 -3.807 2.227 H
-5.158 -9.225 -0.028 H
-0.368 -2.180 0.968 H
1.279 -8.103 -0.798 H
-1.825 -6.811 -3.537 H
-2.757 -8.389 -1.285 H
0.329 -4.802 2.428 Te
-1.130 -4.529 -2.679 Te
-0.755 -9.329 -0.103 Te
-8.913 -5.528 2.255 Te
```

As for the space group: Pc, No. 7.

Entry 11:
The following is a PBE-GGA calculation of a geometry-optimized Li3TeHO4 structure, from the Alexandria database.

```
Li3TeHO4
1.0
6.426 0.000 0.000
0.000 5.526 -0.003
0.000 2.685 6.273
Li O H Te
6 8 2 2
Cartesian
0.099 2.330 2.175 Li
6.327 5.881 4.095 Li
3.312 5.881 4.095 Li
3.114 2.330 2.175 Li
4.819 3.309 4.088 Li
1.606 4.902 2.182 Li
6.263 5.879 2.052 O
1.606 4.852 4.246 O
0.163 2.332 4.218 O
3.375 5.879 2.052 O
1.606 3.182 1.329 O
4.819 3.359 2.024 O
4.819 5.029 4.941 O
3.050 2.332 4.218 O
1.606 3.087 0.363 H
4.819 5.124 5.907 H
1.606 3.169 5.106 Te
4.819 5.043 1.164 Te
```

As for the space group: P2_1/m, No. 11.

Entry 12:
The following is a PBE-GGA calculation of a geometry-optimized LiTiHO structure, from the Alexandria database.

```
LiTiHO
1.0
-2.480 1.271 0.616
0.605 -2.560 1.107
3.680 2.331 3.391
H Li Ti O
1 1 1 1
Cartesian
0.554 -2.156 1.316 H
-0.747 1.186 2.408 Li
2.794 1.022 3.773 Ti
1.218 1.728 2.587 O
```

As for the space group: R3m, No. 160.

no.,E (eV/atom)
1,-6.67
2,-3.91
3,-5.07
4,-5.06
5,-5.07
6,-4.20
7,-3.87
8,-5.05
9,-5.75
10,-5.12
11,-5.20
12,-5.98